(1)
Crystalline DyScFePd at its relaxed geometry, computed with GGA-PBE.

Structure (extended XYZ):
```
4
Lattice="4.693 0.000 0.000 2.346 4.064 0.000 2.346 1.355 3.832" Properties=species:S:1:pos:R:3 pbc="T T T"
Sc 0.000 0.000 0.000
Dy 4.693 2.709 1.916
Fe 2.346 1.355 0.958
Pd 7.039 4.064 2.874
```

Properties
Electronic total energy: -26.02 eV per cell
Mass density: 8.40 Mg/m³
Formation energy from the elements: -1.4 eV per formula unit
Magnetic moment: 0.14 Bohr magnetons per cell

***

(2)
Crystalline CaRe3Pt at its relaxed geometry, computed with GGA-PBE.

Structure (extended XYZ):
```
5
Lattice="4.832 0.000 0.000 0.000 4.832 0.000 0.000 0.000 4.832" Properties=species:S:1:pos:R:3 pbc="T T T"
Re 0.000 2.416 0.000
Re 0.000 0.000 2.416
Re 2.416 0.000 0.000
Ca 2.416 2.416 2.416
Pt 0.000 0.000 0.000
```

Properties
Electronic total energy: -35.82 eV per cell
Mass density: 11.68 Mg/m³
Energy above the lowest structure with this stoichiometry: 0.000 eV/atom
Formation energy from the elements: 9.6 eV per formula unit
Magnetic moment: 0.00 Bohr magnetons per cell

***

Which of these has the highest mass density?
CaRe3Pt

***

What did the first record say?
Crystalline DyScFePd at its relaxed geometry, computed with GGA-PBE.

Structure (extended XYZ):
```
4
Lattice="4.693 0.000 0.000 2.346 4.064 0.000 2.346 1.355 3.832" Properties=species:S:1:pos:R:3 pbc="T T T"
Sc 0.000 0.000 0.000
Dy 4.693 2.709 1.916
Fe 2.346 1.355 0.958
Pd 7.039 4.064 2.874
```

Properties
Electronic total energy: -26.02 eV per cell
Mass density: 8.40 Mg/m³
Formation energy from the elements: -1.4 eV per formula unit
Magnetic moment: 0.14 Bohr magnetons per cell